A relaxed Rb12Cl3O5 crystal, computed with PBE.

extended XYZ file:
```
80
Lattice="15.3505 0.0000 0.0000 -5.1168 14.4726 0.0000 -5.1168 -7.2363 12.5336" Properties=species:S:1:pos:R:3 pbc="T T T"
Rb 1.7304 -1.8995 11.3231
Rb 6.8472 7.1377 2.2503
Rb 6.3682 11.1027 3.7573
Rb -4.9261 5.6888 12.2744
O 0.0000 0.0000 0.0000
Rb 1.8887 5.2167 8.5171
O -3.8376 8.1408 4.7001
Rb -3.2282 8.3858 10.0241
Rb 7.8660 12.9251 0.2593
Cl 8.9545 9.9499 1.5667
O -2.5584 -3.6181 6.2668
O -1.2792 11.7590 1.5667
Cl 6.3960 0.9045 4.7001
Rb 3.2282 2.0196 4.0166
Cl -3.8376 2.7136 10.9669
Cl -3.8376 -2.7136 10.9669
Cl 11.5129 0.0000 3.1334
Rb -0.8280 9.2344 1.0397
Rb 3.3864 9.1358 1.2105
Cl 1.2792 7.2363 3.1334
Rb 7.8660 4.1674 4.7970
Rb 6.3682 2.0492 1.4698
Rb -5.3076 10.3052 4.7970
Rb 5.7866 6.0868 10.0241
Rb 10.4244 -3.0690 7.7366
Rb 4.4471 -2.0196 4.0166
Rb -6.4239 3.8665 8.7764
O -1.2792 3.6181 3.1334
Rb 3.3864 5.2382 1.0397
Rb 7.0055 8.1064 6.5261
Rb -3.8098 12.4234 1.4698
Rb 5.9448 1.8995 11.3231
Rb 2.3677 9.8562 5.0563
Rb -1.8887 -0.8701 6.0075
Rb -2.7492 3.0689 7.7366
Rb 0.1908 4.6164 5.0563
O 6.3960 6.3318 4.7001
Rb -0.8280 5.3368 1.2105
Cl 8.9545 4.5227 1.5667
O -5.1168 3.6181 6.2668
Rb 3.8654 5.9156 5.2271
Rb -0.6698 1.1495 2.5095
O -2.5584 7.2363 0.0000
Cl -6.3960 7.2363 9.4002
Rb 4.9261 2.6199 7.4773
Rb 8.3450 -1.1495 2.5095
Rb -4.4471 6.3662 6.5261
Rb 1.2514 1.3207 7.3066
Rb 0.6698 9.2559 8.5171
Rb 9.5639 0.8701 6.0075
O -1.2792 0.9045 7.8335
O 6.3960 -4.5227 10.9669
Rb 2.7492 -2.6199 7.4773
O 3.8376 10.8544 3.1334
O 3.8376 2.7136 1.5667
Cl 1.2792 -0.9045 4.7001
Cl 3.8376 8.1408 7.8335
Rb -1.7304 0.0986 10.2834
Rb -1.2514 5.1871 11.0638
O 2.5584 3.6181 6.2668
Rb -2.7492 -5.6888 12.2744
O 5.1168 -3.6181 6.2668
Rb 8.9267 -5.1871 11.0638
Rb 10.0429 1.5475 0.2593
Rb -5.9449 -0.0986 10.2834
Rb 6.4238 -1.3207 7.3066
Rb 5.9449 -1.9981 11.4939
O 1.2792 4.5227 10.9669
O 8.9545 -0.9045 7.8335
O 5.1168 7.2363 0.0000
Rb 1.7304 1.9981 11.4939
O 7.6753 0.0000 0.0000
Rb 11.0617 7.3349 2.2503
O 1.2792 -3.6181 9.4002
Rb -1.2514 -3.8664 8.7764
Rb -1.3070 8.5570 5.2271
Cl 3.8376 0.0000 9.4002
Cl -1.2792 6.3318 7.8335
O 6.3960 3.6181 9.4002
Rb 11.5407 3.3698 3.7573
```

Summary:
M_tot (μB per cell): 4.5
E_form (uncorrected) (meV/atom): -1204
Calculated total energy (eV per atom): -3.30